A relaxed structure of ErZn2, computed with GGA-PBE.

Space-group type: Pmmn (59)
Electronic total energy: -2.46 eV per atom
ΔE_f: -0.098 eV per atom

Cell: 5.0201 9.9553 4.7500 Å, 90.00 90.00 90.00°
Positions (direct):
Er (0.0493, 0.6671, 0.0000)
Er (0.0493, 0.9996, 0.0000)
Er (0.7840, 0.1671, 0.5000)
Er (0.7840, 0.4996, 0.5000)
Zn (0.4752, 0.1992, 0.0000)
Zn (0.9925, 0.3333, 0.0000)
Zn (0.4752, 0.4674, 0.0000)
Zn (0.5533, 0.8333, 0.0000)
Zn (0.2800, 0.3333, 0.5000)
Zn (0.3581, 0.6992, 0.5000)
Zn (0.8408, 0.8333, 0.5000)
Zn (0.3581, 0.9674, 0.5000)